[1]
NaSrPH18SO12 | SCAN | PBEsol geometry

VASP energy	-6.761	eV/atom
V	1251	Å³ per cell
spin magnetization	0.51	Bohr magnetons per cell

Cell: 10.7761 10.7761 10.7761 Å, 90.00 90.00 90.00°
Last column: magnetic moment on the atom in μB.
Positions (direct):
1 O 0.8976 0.5343 0.2193  0.00
2 O 0.3170 0.6252 0.7771  0.01
3 O 0.0309 0.8405 0.1079  0.00
4 P 0.6948 0.8052 0.1948  0.00
5 H 0.7258 0.9547 0.5345  0.00
6 H 0.4843 0.9366 0.7976  0.00
7 O 0.6414 0.9004 0.8011  0.00
8 Na 0.0594 0.0594 0.0594  0.00
9 O 0.2771 0.1830 0.3748  0.01
10 H 0.2296 0.1692 0.5150  0.00
11 H 0.8308 0.0150 0.2704  0.00
12 H 0.4434 0.6557 0.8596  0.00
13 Sr 0.8109 0.3109 0.1891  0.00
14 O 0.6989 0.3586 0.4004  0.00
15 H 0.6604 0.4017 0.6849  0.00
16 Na 0.9406 0.5594 0.4406  0.00
17 O 0.1414 0.5996 0.1989  0.00
18 Sr 0.6891 0.6891 0.6891  0.00
19 H 0.1604 0.0983 0.3151  0.00
20 O 0.6024 0.4657 0.7193  0.00
21 H 0.1692 0.5150 0.2296  0.00
22 O 0.6079 0.4691 0.1595  0.00
23 O 0.9657 0.7807 0.3976  0.00
24 H 0.6067 0.3539 0.4028  0.00
25 H 0.9547 0.5345 0.7258  0.00
26 H 0.8596 0.4434 0.6557  0.00
27 H 0.6692 0.9850 0.7704  0.00
28 O 0.0343 0.2807 0.1024  0.00
29 H 0.2976 0.0157 0.0634  0.00
30 Sr 0.1891 0.8109 0.3109  0.00
31 H 0.9850 0.7704 0.6692  0.00
32 H 0.1404 0.9434 0.8443  0.00
33 Sr 0.3109 0.1891 0.8109  0.00
34 H 0.7976 0.4843 0.9366  0.00
35 H 0.8539 0.0972 0.3933  0.00
36 H 0.4017 0.6849 0.6604  0.00
37 O 0.1595 0.6079 0.4691  0.00
38 H 0.0453 0.0345 0.7742  0.00
39 O 0.1024 0.0343 0.2807  0.00
40 H 0.1461 0.5972 0.1067  0.00
41 H 0.7024 0.5157 0.4366  0.00
42 O 0.7229 0.6830 0.1252  0.01
43 O 0.1830 0.3748 0.2771  0.01
44 Na 0.4406 0.9406 0.5594  0.00
45 O 0.1252 0.7229 0.6830  0.01
46 O 0.6830 0.1252 0.7229  0.01
47 H 0.5150 0.2296 0.1692  0.00
48 H 0.8933 0.6461 0.9028  0.00
49 O 0.5996 0.1989 0.1414  0.00
50 H 0.9655 0.2742 0.4547  0.00
51 H 0.4655 0.2258 0.5453  0.00
52 O 0.0996 0.3011 0.8586  0.00
53 H 0.2258 0.5453 0.4655  0.00
54 H 0.2024 0.9843 0.5634  0.00
55 H 0.0345 0.7742 0.0453  0.00
56 O 0.8170 0.8748 0.2229  0.01
57 O 0.3011 0.8586 0.0996  0.00
58 H 0.1067 0.1461 0.5972  0.00
59 O 0.8586 0.0996 0.3011  0.00
60 H 0.4028 0.6067 0.3539  0.00
61 O 0.9691 0.3405 0.3921  0.00
62 H 0.5634 0.2024 0.9843  0.00
63 H 0.7742 0.0453 0.0345  0.00
64 H 0.5345 0.7258 0.9547  0.00
65 H 0.9017 0.8151 0.3396  0.00
66 P 0.8052 0.1948 0.6948  0.00
67 O 0.2193 0.8976 0.5343  0.00
68 H 0.2704 0.8308 0.0150  0.00
69 H 0.7704 0.6692 0.9850  0.00
70 S 0.5849 0.9151 0.0849  0.05
71 O 0.2229 0.8170 0.8748  0.01
72 H 0.9843 0.5634 0.2024  0.00
73 O 0.4691 0.1595 0.6079  0.00
74 O 0.7193 0.6024 0.4657  0.00
75 P 0.3052 0.3052 0.3052  0.00
76 O 0.6252 0.7771 0.3170  0.01
77 H 0.0157 0.0634 0.2976  0.00
78 O 0.3976 0.9657 0.7807  0.00
79 H 0.3443 0.3596 0.0566  0.00
80 H 0.8396 0.5983 0.1849  0.00
81 H 0.3396 0.9017 0.8151  0.00
82 O 0.5309 0.6595 0.8921  0.00
83 O 0.8921 0.5309 0.6595  0.00
84 O 0.1079 0.0309 0.8405  0.00
85 S 0.4151 0.4151 0.4151  0.05
86 H 0.3596 0.0566 0.3443  0.00
87 O 0.3405 0.3921 0.9691  0.00
88 O 0.1989 0.1414 0.5996  0.00
89 H 0.5566 0.1557 0.6404  0.00
90 H 0.5157 0.4366 0.7024  0.00
91 H 0.6404 0.5566 0.1557  0.00
92 O 0.8748 0.2229 0.8170  0.01
93 O 0.8405 0.1079 0.0309  0.00
94 S 0.0849 0.5849 0.9151  0.05
95 P 0.1948 0.6948 0.8052  0.00
96 O 0.6595 0.8921 0.5309  0.00
97 O 0.3921 0.9691 0.3405  0.00
98 O 0.3748 0.2771 0.1830  0.01
99 H 0.0983 0.3151 0.1604  0.00
100 Na 0.5594 0.4406 0.9406  0.00
101 H 0.5972 0.1067 0.1461  0.00
102 H 0.4547 0.9655 0.2742  0.00
103 H 0.6461 0.9028 0.8933  0.00
104 H 0.3539 0.4028 0.6067  0.00
105 O 0.8011 0.6414 0.9004  0.00
106 H 0.8443 0.1404 0.9434  0.00
107 H 0.6849 0.6604 0.4017  0.00
108 H 0.9434 0.8443 0.1404  0.00
109 H 0.5983 0.1849 0.8396  0.00
110 O 0.9004 0.8011 0.6414  0.00
111 H 0.0150 0.2704 0.8308  0.00
112 H 0.9028 0.8933 0.6461  0.00
113 O 0.7807 0.3976 0.9657  0.00
114 O 0.3586 0.4004 0.6989  0.00
115 O 0.4004 0.6989 0.3586  0.00
116 H 0.0566 0.3443 0.3596  0.00
117 O 0.4657 0.7193 0.6024  0.00
118 H 0.3933 0.8539 0.0972  0.00
119 H 0.3151 0.1604 0.0983  0.00
120 H 0.8151 0.3396 0.9017  0.00
121 H 0.6557 0.8596 0.4434  0.00
122 O 0.7771 0.3170 0.6252  0.01
123 H 0.0634 0.2976 0.0157  0.00
124 H 0.2742 0.4547 0.9655  0.00
125 H 0.3308 0.4850 0.7296  0.00
126 H 0.5453 0.4655 0.2258  0.00
127 H 0.1849 0.8396 0.5983  0.00
128 O 0.5343 0.2193 0.8976  0.00
129 H 0.0972 0.3933 0.8539  0.00
130 H 0.4850 0.7296 0.3308  0.00
131 S 0.9151 0.0849 0.5849  0.05
132 O 0.2807 0.1024 0.0343  0.00
133 H 0.9366 0.7976 0.4843  0.00
134 H 0.1557 0.6404 0.5566  0.00
135 H 0.4366 0.7024 0.5157  0.00
136 H 0.7296 0.3308 0.4850  0.00

[2]
NaV2P2H8O14 | SCAN | PBEsol geometry

VASP energy	-8.361	eV/atom
V	502	Å³ per cell
spin magnetization	2.00	Bohr magnetons per cell

Cell: 6.2719 6.2622 12.9373 Å, 87.15 81.37 89.96°
Last column: magnetic moment on the atom in μB.
Positions (direct):
1 O 0.8661 0.7885 0.7724  0.00
2 O 0.2996 0.2340 0.9270  -0.08
3 O 0.7004 0.7660 0.0730  -0.08
4 H 0.7873 0.8306 0.7136  0.00
5 V 0.7271 0.2390 0.5503  0.57
6 O 0.7066 0.5418 0.5713  0.00
7 O 0.9738 0.7427 0.4324  0.00
8 O 0.2487 0.7544 0.5747  -0.08
9 Na 0.0007 0.5660 0.2546  0.00
10 O 0.4573 0.7436 0.9209  0.00
11 H 0.3753 0.6413 0.6892  0.00
12 P 0.2475 0.2510 0.4973  0.00
13 O 0.3644 0.5457 0.7529  0.00
14 H 0.2127 0.1694 0.2864  0.00
15 V 0.2428 0.2369 0.0516  0.57
16 O 0.1621 0.0818 0.7563  0.00
17 Na 0.9993 0.4340 0.7454  0.00
18 O 0.6667 0.2589 0.7252  0.00
19 H 0.7281 0.8905 0.3071  0.00
20 H 0.9926 0.8955 0.7644  0.00
21 O 0.7382 0.9305 0.5809  0.00
22 H 0.6702 0.1643 0.7886  0.00
23 O 0.2557 0.9275 0.0798  0.00
24 O 0.8379 0.9182 0.2437  0.00
25 H 0.5468 0.3690 0.7410  0.00
26 H 0.4532 0.6310 0.2590  0.00
27 O 0.7513 0.2456 0.4253  -0.08
28 O 0.0650 0.7789 0.9372  -0.01
29 V 0.2729 0.7610 0.4497  0.57
30 H 0.0074 0.1045 0.2356  0.00
31 P 0.2484 0.7473 0.0027  0.00
32 O 0.1339 0.2115 0.2276  0.00
33 O 0.2934 0.4582 0.4287  0.00
34 H 0.2719 0.1095 0.6929  0.00
35 O 0.6356 0.4543 0.2471  0.00
36 H 0.7685 0.8954 0.1813  0.00
37 O 0.5888 0.7825 0.4248  0.00
38 H 0.6247 0.3587 0.3108  0.00
39 H 0.3937 0.6330 0.8119  0.00
40 P 0.7525 0.7490 0.5027  0.00
41 O 0.7818 0.4605 0.9269  -0.01
42 O 0.5427 0.2564 0.0791  0.00
43 H 0.6063 0.3670 0.1881  0.00
44 O 0.9350 0.2211 0.0628  -0.01
45 O 0.4112 0.2175 0.5752  0.00
46 O 0.2182 0.5395 0.0731  -0.01
47 O 0.0262 0.2573 0.5676  0.00
48 H 0.2315 0.1046 0.8187  0.00
49 P 0.7516 0.2527 0.9973  0.00
50 H 0.3298 0.8357 0.2114  0.00
51 O 0.2618 0.0695 0.4191  0.00
52 O 0.7443 0.0725 0.9202  0.00
53 V 0.7572 0.7631 0.9484  0.57
54 O 0.3333 0.7411 0.2748  0.00

What is the VASP energy in the second record? -8.361 eV/atom

Which of these has the highest spin magnetization? NaV2P2H8O14

What is the V in the first record? 1251 Å³ per cell